20
Lattice="5.2619 -0.2983 -0.3096 1.3230 7.3743 -0.0633 1.3230 -0.3366 7.3669" Properties=species:S:1:pos:R:3 comment="PBE-GGA Ge2PdPbO6, optimized geometry" e_tot_ev_per_atom=-5.94 volume_a3_per_atom=14.6 formation_energy_uncorrected_ev_per_fu=-11.47 pbc="T T T"
Ge 3.1768 5.4957 4.4226
Ge 4.7310 1.2438 2.5715
Ge 5.8077 4.0667 5.5010
Ge 2.1001 2.6727 1.4930
O 1.2386 2.0068 2.9631
O 6.3642 2.4223 5.7731
O 3.8695 2.7375 1.9605
O 5.9888 5.1468 6.8678
O 4.1745 0.9110 4.2047
O 1.9190 1.5927 0.1262
O 3.3579 6.8215 5.5525
O 3.7333 5.8285 2.7894
O 6.6692 4.7327 4.0310
O 4.5500 -0.0820 1.4415
O 1.5436 4.3172 1.2210
O 4.0383 4.0020 5.0336
Pd 5.2694 4.8327 1.9381
Pd 2.6384 1.9068 5.0560
Pb 2.6384 6.4539 0.6744
Pb 5.2694 0.2856 6.3197